This record from Alexandria via LeMat-Bulk describes a relaxed La4Pa3VN8 crystal. The functional is GGA-PBE.

```
La4Pa3VN8
1.0
3.514 2.029 5.932
-3.514 2.029 5.932
0.000 -4.058 5.932
La Pa V N
4 3 1 8
direct
0.000 0.000 0.000 La
0.000 0.500 0.500 La
0.500 0.000 0.500 La
0.500 0.500 0.000 La
0.000 0.000 0.500 Pa
0.000 0.500 0.000 Pa
0.500 0.000 0.000 Pa
0.500 0.500 0.500 V
0.235 0.235 0.235 N
0.236 0.733 0.733 N
0.267 0.267 0.764 N
0.267 0.764 0.267 N
0.733 0.236 0.733 N
0.733 0.733 0.236 N
0.764 0.267 0.267 N
0.765 0.765 0.765 N
```

Values from the calculation:
electronic total energy	-9.1362	eV per atom
formation energy without anion corrections	-1.391	eV/atom
magnetization	1.4	μB/f.u.
density of states at the Fermi level	0.546	states/eV per atom

---

This record from Alexandria via LeMat-Bulk describes a relaxed ThNiAu11 crystal. The functional is GGA-PBE.

```
ThNiAu11
1.0
2.766 -6.883 0.000
2.766 6.883 0.000
-2.709 0.000 6.544
Th Ni Au
1 1 11
direct
0.000 0.000 0.000 Th
0.000 0.000 0.500 Ni
0.000 0.500 0.000 Au
0.002 0.671 0.647 Au
0.276 0.483 0.784 Au
0.329 0.998 0.353 Au
0.483 0.276 0.784 Au
0.500 0.000 0.000 Au
0.500 0.500 0.500 Au
0.517 0.724 0.216 Au
0.671 0.002 0.647 Au
0.724 0.517 0.216 Au
0.998 0.329 0.353 Au
```

Values from the calculation:
energy of formation from the pure elements	-2.20	eV/f.u.
electronic total energy	-3.9582	eV per atom
magnetization	0.0	μB/f.u.
density of states at the Fermi level	0.401	states/eV per atom

---

This record from Alexandria via LeMat-Bulk describes a relaxed RePb2C crystal. The functional is GGA-PBE.

```
RePb2C
1.0
6.960 0.000 0.000
0.000 6.960 0.000
0.000 0.000 6.534
Re Pb C
4 8 4
direct
0.000 0.000 0.000 Re
0.000 0.500 0.250 Re
0.500 0.000 0.750 Re
0.500 0.500 0.500 Re
0.194 0.250 0.625 Pb
0.250 0.694 0.875 Pb
0.250 0.806 0.375 Pb
0.306 0.250 0.125 Pb
0.694 0.750 0.125 Pb
0.750 0.194 0.375 Pb
0.750 0.306 0.875 Pb
0.806 0.750 0.625 Pb
0.000 0.000 0.500 C
0.000 0.500 0.750 C
0.500 0.000 0.250 C
0.500 0.500 0.000 C
```

Values from the calculation:
energy of formation from the pure elements	7.69	eV/f.u.
electronic total energy	-5.3505	eV per atom
magnetization	1.3	μB/f.u.
density of states at the Fermi level	0.889	states/eV per atom

---

This record from Alexandria via LeMat-Bulk describes a relaxed Cd3AgPt crystal. The functional is GGA-PBE.

```
Cd3AgPt
1.0
6.360 -4.125 0.000
6.360 4.125 0.000
-6.162 0.000 7.412
Cd Ag Pt
12 4 4
direct
0.012 0.226 0.081 Cd
0.111 0.587 0.429 Cd
0.171 0.344 0.930 Cd
0.226 0.012 0.581 Cd
0.344 0.171 0.430 Cd
0.413 0.889 0.071 Cd
0.587 0.111 0.929 Cd
0.656 0.829 0.570 Cd
0.774 0.988 0.419 Cd
0.829 0.656 0.070 Cd
0.889 0.413 0.571 Cd
0.988 0.774 0.919 Cd
0.342 0.474 0.789 Ag
0.474 0.342 0.289 Ag
0.526 0.658 0.711 Ag
0.658 0.526 0.211 Ag
0.088 0.912 0.750 Pt
0.265 0.735 0.250 Pt
0.735 0.265 0.750 Pt
0.912 0.088 0.250 Pt
```

Values from the calculation:
energy of formation from the pure elements	-0.58	eV/f.u.
electronic total energy	-2.4439	eV per atom
magnetization	0.0	μB/f.u.
ΔE to the lowest computed polymorph	34	meV per atom
density of states at the Fermi level	0.317	states/eV per atom

---

This record from Alexandria via LeMat-Bulk describes a relaxed HoZn4Pd2 crystal. The functional is GGA-PBE.

```
HoZn4Pd2
1.0
7.481 0.000 0.000
0.000 7.481 0.000
0.000 0.000 4.273
Ho Zn Pd
2 8 4
direct
0.000 0.000 0.000 Ho
0.500 0.500 0.500 Ho
0.100 0.355 0.500 Zn
0.145 0.600 0.000 Zn
0.355 0.100 0.500 Zn
0.400 0.855 0.000 Zn
0.600 0.145 0.000 Zn
0.645 0.900 0.500 Zn
0.855 0.400 0.000 Zn
0.900 0.645 0.500 Zn
0.215 0.785 0.500 Pd
0.285 0.285 0.000 Pd
0.715 0.715 0.000 Pd
0.785 0.215 0.500 Pd
```

Values from the calculation:
energy of formation from the pure elements	-3.72	eV/f.u.
electronic total energy	-3.3969	eV per atom
magnetization	0.0	μB/f.u.
density of states at the Fermi level	0.296	states/eV per atom

---

This record from Alexandria via LeMat-Bulk describes a relaxed YHSeN2 crystal. The functional is GGA-PBE.

```
YHSeN2
1.0
4.635 0.000 0.000
0.000 4.635 0.000
0.000 0.000 5.716
Y H Se N
1 1 1 2
direct
0.000 0.000 0.000 Y
0.500 0.500 0.500 H
0.000 0.000 0.500 Se
0.000 0.500 0.000 N
0.500 0.000 0.000 N
```

Values from the calculation:
electronic total energy	-4.6882	eV per atom
magnetization	4.2	μB/f.u.
ΔE to the lowest computed polymorph	657	meV per atom
density of states at the Fermi level	1.036	states/eV per atom

---

This record from Alexandria via LeMat-Bulk describes a relaxed NdScCoRh crystal. The functional is GGA-PBE.

```
NdScCoRh
1.0
6.714 0.000 0.000
0.000 6.714 0.000
0.000 0.000 6.714
Nd Sc Co Rh
4 4 4 4
direct
0.000 0.000 0.000 Nd
0.000 0.500 0.500 Nd
0.500 0.000 0.500 Nd
0.500 0.500 0.000 Nd
0.000 0.000 0.500 Sc
0.000 0.500 0.000 Sc
0.500 0.000 0.000 Sc
0.500 0.500 0.500 Sc
0.250 0.250 0.750 Co
0.250 0.750 0.250 Co
0.750 0.250 0.250 Co
0.750 0.750 0.750 Co
0.250 0.250 0.250 Rh
0.250 0.750 0.750 Rh
0.750 0.250 0.750 Rh
0.750 0.750 0.250 Rh
```

Values from the calculation:
energy of formation from the pure elements	-1.59	eV/f.u.
electronic total energy	-6.7857	eV per atom
magnetization	0.6	μB/f.u.
density of states at the Fermi level	0.400	states/eV per atom

---

This record from Alexandria via LeMat-Bulk describes a relaxed CaMgSn crystal. The functional is GGA-PBE.

```
CaMgSn
1.0
13.701 0.000 0.000
0.000 4.697 0.000
0.000 0.000 7.768
Ca Mg Sn
6 6 6
direct
0.040 0.000 0.232 Ca
0.250 0.000 0.866 Ca
0.460 0.000 0.232 Ca
0.540 0.000 0.768 Ca
0.750 0.000 0.134 Ca
0.960 0.000 0.768 Ca
0.115 0.500 0.563 Mg
0.250 0.500 0.213 Mg
0.385 0.500 0.563 Mg
0.615 0.500 0.437 Mg
0.750 0.500 0.787 Mg
0.885 0.500 0.437 Mg
0.101 0.500 0.943 Sn
0.250 0.000 0.450 Sn
0.399 0.500 0.943 Sn
0.601 0.500 0.057 Sn
0.750 0.000 0.550 Sn
0.899 0.500 0.057 Sn
```

Values from the calculation:
energy of formation from the pure elements	-1.43	eV/f.u.
electronic total energy	-3.0094	eV per atom
magnetization	0.0	μB/f.u.
density of states at the Fermi level	0.305	states/eV per atom

---

This record from Alexandria via LeMat-Bulk describes a relaxed BaYZr2 crystal. The functional is GGA-PBE.

```
BaYZr2
1.0
4.023 0.000 0.000
0.000 4.023 0.000
0.000 0.000 7.861
Ba Y Zr
1 1 2
direct
0.000 0.000 0.000 Ba
0.000 0.000 0.500 Y
0.500 0.500 0.312 Zr
0.500 0.500 0.688 Zr
```

Values from the calculation:
energy of formation from the pure elements	1.93	eV/f.u.
electronic total energy	-5.8892	eV per atom
magnetization	0.0	μB/f.u.
ΔE to the lowest computed polymorph	208	meV per atom
density of states at the Fermi level	2.116	states/eV per atom

---

This record from Alexandria via LeMat-Bulk describes a relaxed CsSn2As2 crystal. The functional is GGA-PBE.

```
CsSn2As2
1.0
-3.691 3.691 6.435
3.691 -3.691 6.435
3.691 3.691 -6.435
Cs Sn As
2 4 4
direct
0.000 0.000 0.000 Cs
0.750 0.250 0.500 Cs
0.282 0.022 0.739 Sn
0.282 0.543 0.261 Sn
0.293 0.532 0.761 Sn
0.772 0.532 0.239 Sn
0.492 0.212 0.720 As
0.492 0.772 0.280 As
0.522 0.742 0.780 As
0.962 0.742 0.220 As
```

Values from the calculation:
energy of formation from the pure elements	-1.12	eV/f.u.
electronic total energy	-3.8561	eV per atom
magnetization	0.0	μB/f.u.
density of states at the Fermi level	0.415	states/eV per atom